## P
Below is crystalline KPdF at its relaxed geometry, with properties calculated at the PBE level.

a b c (Å): 7.032 7.032 3.519
angles (deg): 90.00 90.00 135.40
Element x y z (fractional)
F 0.809 0.191 0.250
K 0.345 0.655 0.250
Pd 0.069 0.931 0.250
F 0.191 0.809 0.750
K 0.655 0.345 0.750
Pd 0.931 0.069 0.750

## Properties
Crystal system: orthorhombic

---

## Q
Below is crystalline KPdF at its relaxed geometry, with properties calculated at the PBE level.

a b c (Å): 4.595 4.595 8.566
angles (deg): 90.00 90.00 120.00
Element x y z (fractional)
F 0.000 0.000 0.750
F 0.000 0.000 0.250
K 0.333 0.667 0.250
Pd 0.000 0.000 0.500
K 0.667 0.333 0.750
Pd 0.000 0.000 0.000

## Properties
Crystal system: hexagonal

---

Result of the stability comparison: P is the most stable of them.

---

## P
Below is crystalline KPdF at its relaxed geometry, with properties calculated at the PBE level.

a b c (Å): 4.454 4.454 4.454
angles (deg): 60.00 60.00 60.00
Element x y z (fractional)
K 0.250 0.250 0.250
Pd 0.750 0.750 0.750
F 0.000 0.000 0.000

## Properties
Crystal system: cubic

---

## Q
Below is crystalline KPdF at its relaxed geometry, with properties calculated at the PBE level.

a b c (Å): 9.848 3.516 6.992
angles (deg): 90.00 90.00 90.00
Element x y z (fractional)
Pd 0.536 0.750 0.618
Pd 0.464 0.250 0.382
F 0.602 0.250 0.825
Pd 0.964 0.250 0.118
Pd 0.036 0.750 0.882
K 0.327 0.250 0.906
F 0.398 0.750 0.175
K 0.827 0.250 0.594
K 0.173 0.750 0.406
F 0.102 0.250 0.675
K 0.673 0.750 0.094
F 0.898 0.750 0.325

## Properties
Crystal system: orthorhombic

---

## R
Below is crystalline KPdF at its relaxed geometry, with properties calculated at the PBE level.

a b c (Å): 4.206 4.206 4.035
angles (deg): 90.00 90.00 120.00
Element x y z (fractional)
K 0.000 0.000 0.500
Pd 0.667 0.333 0.000
F 0.333 0.667 0.000

## Properties
Crystal system: hexagonal

---

## S
Below is crystalline KPdF at its relaxed geometry, with properties calculated at the PBE level.

a b c (Å): 4.156 4.156 8.482
angles (deg): 90.00 90.00 120.00
Element x y z (fractional)
Pd 0.667 0.333 0.750
F 0.667 0.333 0.250
F 0.333 0.667 0.750
K 0.000 0.000 0.500
Pd 0.333 0.667 0.250
K 0.000 0.000 0.000

## Properties
Crystal system: hexagonal

---

Result of the stability comparison: Q is the most stable of them.

---

## P
Below is crystalline K2Pd2F at its relaxed geometry, with properties calculated at the PBE level.

a b c (Å): 8.775 8.775 3.330
angles (deg): 90.00 90.00 90.00
Element x y z (fractional)
K 0.800 0.300 0.500
Pd 0.398 0.898 0.000
F 0.500 0.500 0.000
Pd 0.102 0.398 0.000
K 0.300 0.200 0.500
K 0.200 0.700 0.500
F 0.000 0.000 0.000
Pd 0.898 0.602 0.000
K 0.700 0.800 0.500
Pd 0.602 0.102 0.000

## Properties
Crystal system: tetragonal

---

## Q
Below is crystalline K2Pd2F at its relaxed geometry, with properties calculated at the PBE level.

a b c (Å): 6.329 6.329 5.676
angles (deg): 56.12 56.12 90.00
Element x y z (fractional)
F 0.000 0.000 0.000
K 0.750 0.250 0.500
Pd 0.322 0.322 0.356
Pd 0.678 0.678 0.644
K 0.250 0.750 0.500

## Properties
Crystal system: tetragonal

---

Result of the stability comparison: Q is the most stable of them.

---

## P
Below is crystalline K2PdF at its relaxed geometry, with properties calculated at the PBE level.

a b c (Å): 7.457 7.457 6.844
angles (deg): 56.99 56.99 90.00
Element x y z (fractional)
Pd 0.750 0.250 0.500
K 0.375 0.453 0.750
F 0.500 0.500 0.000
Pd 0.000 0.000 0.000
K 0.875 0.797 0.750
K 0.203 0.625 0.250
F 0.250 0.750 0.500
K 0.547 0.125 0.250

## Properties
Crystal system: tetragonal

---

## Q
Below is crystalline K2PdF at its relaxed geometry, with properties calculated at the PBE level.

a b c (Å): 5.234 5.234 5.234
angles (deg): 60.00 60.00 60.00
Element x y z (fractional)
K 0.250 0.250 0.250
F 0.000 0.000 0.000
K 0.750 0.750 0.750
Pd 0.500 0.500 0.500

## Properties
Crystal system: cubic

---

Result of the stability comparison: P is the most stable of them.

---

## P
Below is crystalline K2PdF4 at its relaxed geometry, with properties calculated at the PBE level.

a b c (Å): 6.767 6.189 6.788
angles (deg): 91.09 113.21 88.84
Element x y z (fractional)
F 0.549 0.647 0.309
K 0.920 0.774 0.580
Pd 0.250 0.750 0.250
K 0.080 0.226 0.420
F 0.310 0.852 0.549
K 0.580 0.726 0.920
Pd 0.750 0.250 0.750
F 0.690 0.148 0.451
F 0.810 0.352 0.049
F 0.190 0.648 0.951
F 0.050 0.148 0.809
K 0.420 0.274 0.080
F 0.451 0.353 0.691
F 0.950 0.852 0.191

## Properties
Crystal system: triclinic

---

## Q
Below is crystalline K2PdF4 at its relaxed geometry, with properties calculated at the PBE level.

a b c (Å): 3.553 6.188 6.188
angles (deg): 90.00 90.00 90.00
Element x y z (fractional)
F 0.000 0.772 0.228
F 0.000 0.772 0.772
K 0.500 0.500 0.000
Pd 0.000 0.000 0.000
F 0.000 0.228 0.228
F 0.000 0.228 0.772
K 0.500 0.000 0.500

## Properties
Crystal system: tetragonal

---

Result of the stability comparison: Q is the most stable of them.

---

## P
Below is crystalline K2PdF4 at its relaxed geometry, with properties calculated at the PBE level.

a b c (Å): 5.835 5.835 4.313
angles (deg): 87.17 87.17 62.36
Element x y z (fractional)
Pd 0.000 0.000 0.000
F 0.874 0.348 0.784
K 0.655 0.655 0.278
F 0.652 0.126 0.216
F 0.126 0.652 0.216
K 0.345 0.345 0.722
F 0.348 0.874 0.784

## Properties
Crystal system: monoclinic

---

## Q
Below is crystalline K2PdF4 at its relaxed geometry, with properties calculated at the PBE level.

a b c (Å): 4.360 4.360 7.251
angles (deg): 72.51 72.51 90.00
Element x y z (fractional)
K 0.641 0.641 0.719
Pd 0.000 0.000 0.000
F 0.500 0.000 0.000
F 0.000 0.500 0.000
K 0.359 0.359 0.281
F 0.838 0.838 0.323
F 0.162 0.162 0.677

## Properties
Crystal system: tetragonal

---

Result of the stability comparison: P is the most stable of them.

---

## P
Below is crystalline KPdF3 at its relaxed geometry, with properties calculated at the PBE level.

a b c (Å): 4.114 5.992 7.273
angles (deg): 89.68 90.00 90.00
Element x y z (fractional)
F 0.550 0.135 0.514
F 0.050 0.131 0.808
F 0.550 0.133 0.059
K 0.049 0.637 0.926
F 0.049 0.636 0.410
F 0.549 0.632 0.159
F 0.549 0.635 0.704
K 0.050 0.135 0.292
Pd 0.549 0.633 0.431
Pd 0.550 0.134 0.787

## Properties
Crystal system: monoclinic

---

## Q
Below is crystalline KPdF3 at its relaxed geometry, with properties calculated at the PBE level.

a b c (Å): 4.733 4.733 4.733
angles (deg): 90.00 90.00 90.00
Element x y z (fractional)
F 0.500 0.000 0.000
F 0.000 0.000 0.500
Pd 0.500 0.500 0.500
F 0.000 0.500 0.000
K 0.000 0.000 0.000

## Properties
Crystal system: cubic

---

Result of the stability comparison: P is the most stable of them.

---

## P
Below is crystalline K2Pd2F7 at its relaxed geometry, with properties calculated at the PBE level.

a b c (Å): 4.841 7.504 7.504
angles (deg): 123.90 105.05 105.05
Element x y z (fractional)
Pd 0.188 0.802 0.802
K 0.500 0.317 0.683
F 0.329 0.588 0.588
F 0.671 0.412 0.412
F 0.829 0.065 0.362
Pd 0.812 0.198 0.198
F 0.171 0.935 0.638
K 0.500 0.683 0.317
F 0.171 0.638 0.935
F 0.829 0.362 0.065
F 0.000 0.000 0.000

## Properties
Crystal system: monoclinic

---

## Q
Below is crystalline K2Pd2F7 at its relaxed geometry, with properties calculated at the PBE level.

a b c (Å): 4.307 6.744 13.592
angles (deg): 90.00 90.00 88.84
Element x y z (fractional)
F 0.651 0.786 0.638
F 0.669 0.342 0.554
F 0.713 0.873 0.324
F 0.331 0.158 0.054
F 0.287 0.127 0.676
F 0.331 0.658 0.446
F 0.669 0.842 0.946
K 0.827 0.458 0.367
Pd 0.639 0.060 0.589
F 0.349 0.214 0.362
Pd 0.361 0.940 0.411
K 0.173 0.542 0.633
F 0.349 0.714 0.138
F 0.000 0.000 0.500
K 0.827 0.958 0.133
Pd 0.639 0.560 0.911
F 0.651 0.286 0.862
F 0.287 0.627 0.824
K 0.173 0.042 0.867
F 0.000 0.500 0.000
F 0.713 0.373 0.176
Pd 0.361 0.440 0.089

## Properties
Crystal system: monoclinic

---

Result of the stability comparison: P is the most stable of them.

---

## P
Below is crystalline K2PdF7 at its relaxed geometry, with properties calculated at the PBE level.

a b c (Å): 6.515 7.573 8.095
angles (deg): 82.84 66.27 64.52
Element x y z (fractional)
F 0.790 0.180 0.997
F 0.758 0.529 0.824
F 0.032 0.680 0.497
K 0.431 0.077 0.269
F 0.303 0.239 0.594
K 0.223 0.577 0.769
F 0.968 0.320 0.503
F 0.111 0.971 0.676
K 0.777 0.423 0.231
F 0.242 0.471 0.176
Pd 0.065 0.750 0.250
K 0.569 0.923 0.731
F 0.210 0.820 0.003
Pd 0.935 0.250 0.750
F 0.362 0.750 0.250
F 0.638 0.250 0.750
F 0.697 0.761 0.406
F 0.889 0.029 0.324
F 0.136 0.261 0.906
F 0.864 0.739 0.094

## Properties
Crystal system: monoclinic

---

## Q
Below is crystalline K2PdF7 at its relaxed geometry, with properties calculated at the PBE level.

a b c (Å): 6.203 6.203 6.203
angles (deg): 60.00 60.00 60.00
Element x y z (fractional)
F 0.778 0.222 0.222
F 0.222 0.778 0.222
K 0.750 0.750 0.750
K 0.250 0.250 0.250
F 0.500 0.500 0.500
Pd 0.000 0.000 0.000
F 0.222 0.778 0.778
F 0.222 0.222 0.778
F 0.778 0.222 0.778
F 0.778 0.778 0.222

## Properties
Crystal system: cubic

---

Result of the stability comparison: Q is the most stable of them.

---

## P
Below is crystalline KPm2F7 at its relaxed geometry, with properties calculated at the PBE level.

a b c (Å): 4.510 6.871 6.871
angles (deg): 115.65 90.00 90.00
Element x y z (fractional)
F 0.500 0.952 0.667
Pm 0.500 0.305 0.695
Pm 0.500 0.695 0.305
F 0.500 0.667 0.952
F 0.500 0.048 0.333
K 0.000 0.000 0.000
F 0.500 0.500 0.500
F 0.000 0.719 0.281
F 0.000 0.281 0.719
F 0.500 0.333 0.048

## Properties
Crystal system: orthorhombic

---

## Q
Below is crystalline KPm2F7 at its relaxed geometry, with properties calculated at the PBE level.

a b c (Å): 4.188 4.188 9.073
angles (deg): 103.34 103.34 90.00
Element x y z (fractional)
Pm 0.652 0.652 0.305
F 0.103 0.603 0.206
F 0.500 0.500 0.000
Pm 0.348 0.348 0.695
F 0.897 0.397 0.794
K 0.000 0.000 0.000
F 0.603 0.103 0.206
F 0.750 0.250 0.500
F 0.250 0.750 0.500
F 0.397 0.897 0.794

## Properties
Crystal system: tetragonal

---

Result of the stability comparison: P is the most stable of them.